1.
DFT (GGA-PBE) results for Tc2NiHg after structural relaxation.

Unit cell a=2.8137 b=3.7848 c=5.7614 alpha=90.00 beta=90.00 gamma=90.00
Closest atoms and distances in Å follow each position.
Sites, in units of the cell vectors:
Tc  0.0000  0.0000  0.0000  6 Tc 2.62-2.81, 4 Ni 2.74, 2 Hg 2.84-2.92
Tc  0.5000  0.5000  0.1999  1 Ni 2.54, 6 Tc 2.62-2.81
Ni  0.5000  0.5000  0.7592  5 Tc 2.54-2.74, 4 Hg 2.77, 2 Ni 2.81
Hg  0.0000  0.0000  0.5076  4 Ni 2.77, 2 Hg 2.81, 6 Tc 2.84-2.95

Calculated values
The calculation puts the spin magnetization at 0.000 μB/f.u. The volume comes out at 15.34 Å³ per atom. As for the formation energy from the elements: 0.32 eV/atom.


2.
DFT (GGA-PBE) results for Tc2Ni2Hg after structural relaxation.

Unit cell a=3.5535 b=3.5535 c=12.0991 alpha=90.00 beta=90.00 gamma=90.00
Closest atoms and distances in Å follow each position.
Sites, in units of the cell vectors:
Tc  0.0000  0.5000  0.2500  4 Tc 2.51, 4 Ni 2.56
Tc  0.0000  0.5000  0.7500  4 Tc 2.51, 4 Ni 2.56
Tc  0.5000  0.0000  0.2500  4 Tc 2.51, 4 Ni 2.56
Tc  0.5000  0.0000  0.7500  4 Tc 2.51, 4 Ni 2.56
Ni  0.0000  0.0000  0.0978  1 Ni 2.37, 4 Tc 2.56
Ni  0.0000  0.0000  0.9022  1 Ni 2.37, 4 Tc 2.56
Ni  0.5000  0.5000  0.4022  1 Ni 2.37, 4 Tc 2.56
Ni  0.5000  0.5000  0.5978  1 Ni 2.37, 4 Tc 2.56
Hg  0.0000  0.0000  0.5000  8 Ni 2.78
Hg  0.5000  0.5000  0.0000  8 Ni 2.78

Calculated values
The calculation puts the spin magnetization at 0.000 μB/f.u. The volume comes out at 15.28 Å³ per atom. As for the formation energy from the elements: 0.40 eV/atom. The value obtained for the polymorph energy (0 for the lowest one) is 3.3 kJ per mole of atoms.


3.
DFT (GGA-PBE) results for TcNiHg4 after structural relaxation.

Unit cell a=5.6428 b=5.6428 c=5.6428 alpha=60.00 beta=60.00 gamma=60.00
Closest atoms and distances in Å follow each position.
Sites, in units of the cell vectors:
Tc  0.0000  0.0000  0.0000  12 Hg 3.31, 4 Ni 3.46
Ni  0.2500  0.2500  0.2500  12 Hg 3.31, 4 Tc 3.46
Hg  0.1252  0.6249  0.6249  6 Hg 2.82
Hg  0.6249  0.1252  0.6249  6 Hg 2.82
Hg  0.6249  0.6249  0.1252  6 Hg 2.82
Hg  0.6249  0.6249  0.6249  6 Hg 2.82

Calculated values
The calculation puts the spin magnetization at 3.663 μB/f.u. The volume comes out at 21.17 Å³ per atom. As for the formation energy from the elements: 0.96 eV/atom.


4.
DFT (GGA-PBE) results for Tc2NiHg after structural relaxation.

Unit cell a=6.2698 b=6.2698 c=6.2698 alpha=90.00 beta=90.00 gamma=90.00
Closest atoms and distances in Å follow each position.
Sites, in units of the cell vectors:
Tc  0.0000  0.0000  0.0000  4 Tc 2.71, 4 Ni 2.71
Tc  0.0000  0.5000  0.5000  4 Tc 2.71, 4 Ni 2.71
Tc  0.2500  0.2500  0.2500  4 Hg 2.71, 4 Tc 2.71
Tc  0.2500  0.7500  0.7500  4 Hg 2.71, 4 Tc 2.71
Tc  0.5000  0.0000  0.5000  4 Tc 2.71, 4 Ni 2.71
Tc  0.5000  0.5000  0.0000  4 Tc 2.71, 4 Ni 2.71
Tc  0.7500  0.2500  0.7500  4 Hg 2.71, 4 Tc 2.71
Tc  0.7500  0.7500  0.2500  4 Hg 2.71, 4 Tc 2.71
Ni  0.2500  0.2500  0.7500  4 Hg 2.71, 4 Tc 2.71
Ni  0.2500  0.7500  0.2500  4 Hg 2.71, 4 Tc 2.71
Ni  0.7500  0.2500  0.2500  4 Hg 2.71, 4 Tc 2.71
Ni  0.7500  0.7500  0.7500  4 Hg 2.71, 4 Tc 2.71
Hg  0.0000  0.0000  0.5000  4 Tc 2.71, 4 Ni 2.71
Hg  0.0000  0.5000  0.0000  4 Tc 2.71, 4 Ni 2.71
Hg  0.5000  0.0000  0.0000  4 Tc 2.71, 4 Ni 2.71
Hg  0.5000  0.5000  0.5000  4 Tc 2.71, 4 Ni 2.71

Calculated values
The calculation puts the spin magnetization at 1.752 μB/f.u. The volume comes out at 15.40 Å³ per atom. As for the formation energy from the elements: 0.55 eV/atom.


5.
DFT (GGA-PBE) results for Tc2NiHg after structural relaxation.

Unit cell a=2.7391 b=2.7391 c=8.0581 alpha=90.00 beta=90.00 gamma=90.00
Closest atoms and distances in Å follow each position.
Sites, in units of the cell vectors:
Tc  0.0000  0.0000  0.2149  4 Ni 2.60, 4 Tc 2.74
Tc  0.0000  0.0000  0.7851  4 Ni 2.60, 4 Tc 2.74
Ni  0.5000  0.5000  0.0000  8 Tc 2.60, 4 Ni 2.74
Hg  0.5000  0.5000  0.5000  4 Hg 2.74, 8 Tc 3.00

Calculated values
The calculation puts the spin magnetization at 0.001 μB/f.u. The volume comes out at 15.11 Å³ per atom. As for the formation energy from the elements: 0.45 eV/atom.


6.
DFT (GGA-PBE) results for Tc4NiHg after structural relaxation.

Unit cell a=5.1459 b=5.1459 c=5.1459 alpha=60.00 beta=60.00 gamma=60.00
Closest atoms and distances in Å follow each position.
Sites, in units of the cell vectors:
Tc  0.3757  0.3757  0.3757  6 Tc 2.56-2.59
Tc  0.3757  0.3757  0.8728  6 Tc 2.56-2.59
Tc  0.3757  0.8728  0.3757  6 Tc 2.56-2.59
Tc  0.8728  0.3757  0.3757  6 Tc 2.56-2.59
Ni  0.7500  0.7500  0.7500  12 Tc 3.02, 4 Hg 3.15
Hg  0.0000  0.0000  0.0000  12 Tc 3.02, 4 Ni 3.15

Calculated values
The calculation puts the spin magnetization at 0.455 μB/f.u. The volume comes out at 16.06 Å³ per atom. As for the formation energy from the elements: 0.64 eV/atom.


7.
DFT (GGA-PBE) results for Tc2NiHg after structural relaxation.

Unit cell a=3.7071 b=3.7071 c=8.7699 alpha=90.00 beta=90.00 gamma=90.00
Closest atoms and distances in Å follow each position.
Sites, in units of the cell vectors:
Tc  0.0000  0.5000  0.2500  4 Tc 2.62, 4 Hg 2.87, 4 Ni 2.87
Tc  0.0000  0.5000  0.7500  4 Tc 2.62, 4 Hg 2.87, 4 Ni 2.87
Tc  0.5000  0.0000  0.2500  4 Tc 2.62, 4 Hg 2.87, 4 Ni 2.87
Tc  0.5000  0.0000  0.7500  4 Tc 2.62, 4 Hg 2.87, 4 Ni 2.87
Ni  0.0000  0.0000  0.0000  4 Hg 2.62, 8 Tc 2.87
Ni  0.5000  0.5000  0.5000  4 Hg 2.62, 8 Tc 2.87
Hg  0.0000  0.0000  0.5000  4 Ni 2.62, 8 Tc 2.87
Hg  0.5000  0.5000  0.0000  4 Ni 2.62, 8 Tc 2.87

Calculated values
The calculation puts the spin magnetization at 0.000 μB/f.u. The volume comes out at 15.07 Å³ per atom. As for the formation energy from the elements: 0.44 eV/atom.


8.
DFT (GGA-PBE) results for Tc2NiHg after structural relaxation.

Unit cell a=3.7057 b=3.7057 c=19.3463 alpha=90.00 beta=90.00 gamma=90.00
Closest atoms and distances in Å follow each position.
Sites, in units of the cell vectors:
Tc  0.1951  0.2500  0.1250  2 Tc 2.35
Tc  0.2500  0.6951  0.3750  2 Tc 2.35
Tc  0.2500  0.8049  0.8750  2 Tc 2.35
Tc  0.3049  0.2500  0.6250  2 Tc 2.35
Tc  0.6951  0.7500  0.6250  2 Tc 2.35
Tc  0.7500  0.1951  0.8750  2 Tc 2.35
Tc  0.7500  0.3049  0.3750  2 Tc 2.35
Tc  0.8049  0.7500  0.1250  2 Tc 2.35
Ni  0.0000  0.0000  0.0000  4 Hg 2.62, 4 Tc 2.69
Ni  0.0000  0.5000  0.2500  4 Hg 2.62, 4 Tc 2.69
Ni  0.5000  0.0000  0.7500  4 Hg 2.62, 4 Tc 2.69
Ni  0.5000  0.5000  0.5000  4 Hg 2.62, 4 Tc 2.69
Hg  0.0000  0.0000  0.5000  4 Ni 2.62, 4 Tc 2.83
Hg  0.0000  0.5000  0.7500  4 Ni 2.62, 4 Tc 2.83
Hg  0.5000  0.0000  0.2500  4 Ni 2.62, 4 Tc 2.83
Hg  0.5000  0.5000  0.0000  4 Ni 2.62, 4 Tc 2.83

Calculated values
The calculation puts the spin magnetization at 0.000 μB/f.u. The volume comes out at 16.60 Å³ per atom. As for the formation energy from the elements: 0.70 eV/atom.